1.
# ErGePO

ErGePO after structural relaxation (PBE, OQMD via LeMat-Bulk).

Values from the calculation:
For the spin magnetization, the calculation gives 0.0 μB per formula unit.

abc: 4.2128 5.4776 6.0045
angles: 90.00 90.00 90.00
With the nearest neighbours (Å) after each atom.
Space group Pmc2_1 (No. 26)
Asymmetric unit:
Er 0.0000 0.2313 0.0000 (multiplicity 2)  2 O 2.19-2.21
Ge 0.5000 0.3578 0.3920 (multiplicity 2)  2 O 2.17
P 0.5000 0.0735 0.7114 (multiplicity 2)  2 Ge 2.47-2.60
O 0.0000 0.4133 0.3252 (multiplicity 2)  2 Ge 2.17, 2 Er 2.19-2.21


2.
# ErGePO

ErGePO after structural relaxation (PBE, OQMD via LeMat-Bulk).

Values from the calculation:
For the spin magnetization, the calculation gives 0.0 μB per formula unit.

abc: 4.5293 4.5293 7.5011
angles: 90.00 90.00 90.00
With the nearest neighbours (Å) after each atom.
Space group P4/nmm (No. 129, origin choice 2)
Asymmetric unit:
Er 0.2500 0.7500 0.0000 (multiplicity 2)  4 P 2.71
Ge 0.2500 0.2500 0.4372 (multiplicity 2)  4 O 2.31
P 0.2500 0.2500 0.8027 (multiplicity 2)  4 Er 2.71, 1 Ge 2.74
O 0.2500 0.7500 0.5000 (multiplicity 2)  4 Ge 2.31


The structure with the least stability is 2.


1.
# ErGePO

ErGePO after structural relaxation (PBE, OQMD via LeMat-Bulk).

Values from the calculation:
For the spin magnetization, the calculation gives 0.0 μB per formula unit.

abc: 3.7136 6.2182 6.6517
angles: 90.00 90.00 90.00
With the nearest neighbours (Å) after each atom.
Space group Pmc2_1 (No. 26)
Asymmetric unit:
Er 0.0000 0.2320 0.0000 (multiplicity 2)  2 O 2.15
Ge 0.5000 0.3784 0.5901 (multiplicity 2)  1 O 1.91
P 0.0000 0.2147 0.4223 (multiplicity 2)  2 Ge 2.39
O 0.5000 0.2216 0.8379 (multiplicity 2)  1 Ge 1.91


2.
# ErGePO

ErGePO after structural relaxation (PBE, OQMD via LeMat-Bulk).

Values from the calculation:
For the spin magnetization, the calculation gives 0.0 μB per formula unit.

abc: 3.9900 3.9900 8.9109
angles: 90.00 90.00 90.00
With the nearest neighbours (Å) after each atom.
Space group P4/nmm (No. 129, origin choice 2)
Asymmetric unit:
Er 0.2500 0.2500 0.1148 (multiplicity 2)  4 O 2.24
Ge 0.2500 0.7500 0.5000 (multiplicity 2)  4 P 2.65, 4 Ge 2.82
P 0.2500 0.2500 0.6950 (multiplicity 2)  4 Ge 2.65
O 0.2500 0.7500 0.0000 (multiplicity 2)  4 Er 2.24


3.
# ErGePO

ErGePO after structural relaxation (PBE, OQMD via LeMat-Bulk).

Values from the calculation:
For the spin magnetization, the calculation gives 0.0 μB per formula unit.

abc: 5.4584 5.4584 4.7475
angles: 90.00 90.00 90.00
With the nearest neighbours (Å) after each atom.
Space group P4/nmm (No. 129, origin choice 2)
Asymmetric unit:
Er 0.2500 0.7500 0.0000 (multiplicity 2)  2 O 2.37
Ge 0.2500 0.2500 0.4979 (multiplicity 2)  2 P 2.37
P 0.2500 0.2500 0.9980 (multiplicity 2)  2 Ge 2.37
O 0.2500 0.7500 0.5000 (multiplicity 2)  2 Er 2.37


The structure with the least stability is 3.


1.
# ErTmSiGeOs

ErTmSiGeOs after structural relaxation (PBE, OQMD via LeMat-Bulk).

Values from the calculation:
For the spin magnetization, the calculation gives 0.0 μB per formula unit.

abc: 10.5484 4.2085 10.0224
angles: 90.00 118.11 90.00
With the nearest neighbours (Å) after each atom.
Space group C2/m (No. 12)
Asymmetric unit:
Er 0.1860 0.0000 0.1167 (multiplicity 4)  1 Si 2.88, 5 Ge 3.01-3.12, 2 Os 3.19
Tm 0.0054 0.0000 0.6728 (multiplicity 4)  2 Ge 2.89, 4 Si 2.97-3.05, 4 Os 3.01-3.14
Si 0.1415 0.5000 0.5594 (multiplicity 4)  3 Os 2.40-2.46, 1 Si 2.64
Ge 0.0146 0.5000 0.8750 (multiplicity 4)  1 Os 2.64, 1 Ge 2.67, 2 Tm 2.89
Os 0.2340 0.5000 0.3753 (multiplicity 4)  3 Si 2.40-2.46, 1 Ge 2.64


2.
# ErTmSiGeOs

ErTmSiGeOs after structural relaxation (PBE, OQMD via LeMat-Bulk).

Values from the calculation:
For the spin magnetization, the calculation gives 0.0 μB per formula unit.

abc: 10.5771 4.2095 10.0248
angles: 90.00 118.27 90.00
With the nearest neighbours (Å) after each atom.
Space group C2/m (No. 12)
Asymmetric unit:
Er 0.0065 0.0000 0.1740 (multiplicity 4)  2 Ge 2.89, 4 Si 2.98-3.06, 4 Os 3.01-3.15
Tm 0.1853 0.0000 0.6168 (multiplicity 4)  1 Si 2.87, 5 Ge 3.01-3.14, 2 Os 3.18
Si 0.1423 0.5000 0.0598 (multiplicity 4)  3 Os 2.40-2.46, 1 Si 2.66
Ge 0.0146 0.5000 0.3757 (multiplicity 4)  1 Os 2.64, 1 Ge 2.65, 2 Er 2.89
Os 0.2334 0.5000 0.8747 (multiplicity 4)  3 Si 2.40-2.46, 1 Ge 2.64


The structure with the least stability is 2.


1.
# ErTmGe2Os

ErTmGe2Os after structural relaxation (PBE, OQMD via LeMat-Bulk).

Values from the calculation:
For the spin magnetization, the calculation gives 0.0 μB per formula unit.

abc: 10.6815 4.2848 10.0226
angles: 90.00 117.92 90.00
With the nearest neighbours (Å) after each atom.
Space group C2/m (No. 12)
Asymmetric unit:
Er 0.0039 0.0000 0.1750 (multiplicity 4)  6 Ge 2.91-3.10, 4 Os 3.06-3.17
Tm 0.1833 0.0000 0.6153 (multiplicity 4)  6 Ge 2.88-3.18, 2 Os 3.16
Ge 0.0150 0.5000 0.3764 (multiplicity 4)  1 Os 2.61, 1 Ge 2.64, 2 Er 2.91
Ge 0.1411 0.5000 0.0616 (multiplicity 4)  3 Os 2.46-2.54, 1 Ge 2.67
Os 0.2303 0.5000 0.8668 (multiplicity 4)  4 Ge 2.46-2.61


2.
# ErTmGe2Os

ErTmGe2Os after structural relaxation (PBE, OQMD via LeMat-Bulk).

Values from the calculation:
For the spin magnetization, the calculation gives 0.0 μB per formula unit.

abc: 10.6629 4.2825 10.0133
angles: 90.00 117.85 90.00
With the nearest neighbours (Å) after each atom.
Space group C2/m (No. 12)
Asymmetric unit:
Er 0.1834 0.0000 0.1153 (multiplicity 4)  6 Ge 2.88-3.18, 2 Os 3.16
Tm 0.0038 0.0000 0.6748 (multiplicity 4)  6 Ge 2.91-3.09, 4 Os 3.05-3.16
Ge 0.0151 0.5000 0.8762 (multiplicity 4)  1 Os 2.61, 1 Ge 2.64, 2 Tm 2.91
Ge 0.1408 0.5000 0.5615 (multiplicity 4)  3 Os 2.46-2.54, 1 Ge 2.66
Os 0.2304 0.5000 0.3670 (multiplicity 4)  4 Ge 2.46-2.61


The structure with the least stability is 1.


1.
# RbErGeSe3

RbErGeSe3 after structural relaxation (PBE, OQMD via LeMat-Bulk).

Values from the calculation:
For the spin magnetization, the calculation gives 0.0 μB per formula unit.

abc: 8.8984 4.0521 11.2064
angles: 90.00 110.34 90.00
With the nearest neighbours (Å) after each atom.
Space group P2_1/m (No. 11)
Asymmetric unit:
Rb 0.2271 0.2500 0.2729 (multiplicity 2)  7 Se 3.46-3.81, 1 Ge 3.64
Er 0.3675 0.7500 0.8450 (multiplicity 2)  6 Se 2.82-2.89
Ge 0.1285 0.2500 0.5618 (multiplicity 2)  3 Se 2.49-2.66
Se 0.1214 0.2500 0.7816 (multiplicity 2)  1 Ge 2.49
Se 0.3289 0.7500 0.5791 (multiplicity 2)  2 Ge 2.66, 1 Er 2.88
Se 0.3972 0.7500 0.1038 (multiplicity 2)  3 Er 2.82


2.
# RbErGeSe3

RbErGeSe3 after structural relaxation (PBE, OQMD via LeMat-Bulk).

Values from the calculation:
For the spin magnetization, the calculation gives 0.0 μB per formula unit.

abc: 4.1358 15.6244 11.7133
angles: 90.00 90.00 90.00
With the nearest neighbours (Å) after each atom.
Space group Cmcm (No. 63)
Asymmetric unit:
Rb 0.0000 0.2249 0.2500 (multiplicity 4)  4 Se 3.58-3.69, 2 Ge 3.73
Er 0.0000 0.5000 0.0000 (multiplicity 4)  6 Se 2.84-2.96
Ge 0.0000 0.0766 0.7500 (multiplicity 4)  4 Se 2.65-2.74
Se 0.0000 0.1234 0.5243 (multiplicity 8)  1 Ge 2.74, 2 Er 2.84
Se 0.0000 0.4709 0.7500 (multiplicity 4)  2 Ge 2.65, 2 Er 2.96


The structure with the least stability is 2.


1.
# ErTlGeTe3

ErTlGeTe3 after structural relaxation (PBE, OQMD via LeMat-Bulk).

Values from the calculation:
For the spin magnetization, the calculation gives 0.0 μB per formula unit.

abc: 4.5929 15.1838 11.6651
angles: 90.00 90.00 90.00
With the nearest neighbours (Å) after each atom.
Space group Cmcm (No. 63)
Asymmetric unit:
Er 0.0000 0.0000 0.0000 (multiplicity 4)  6 Te 3.14-3.15
Tl 0.0000 0.2495 0.2500 (multiplicity 4)  8 Te 3.48-3.86
Ge 0.0000 0.4653 0.7500 (multiplicity 4)  4 Te 2.84-2.87
Te 0.0000 0.0782 0.7500 (multiplicity 4)  2 Ge 2.87, 2 Er 3.15
Te 0.0000 0.3638 0.5453 (multiplicity 8)  1 Ge 2.84, 2 Er 3.14


2.
# ErTlGeTe3

ErTlGeTe3 after structural relaxation (PBE, OQMD via LeMat-Bulk).

Values from the calculation:
For the spin magnetization, the calculation gives 0.0 μB per formula unit.

abc: 8.9457 4.2493 11.5152
angles: 90.00 107.55 90.00
With the nearest neighbours (Å) after each atom.
Space group P2_1/m (No. 11)
Asymmetric unit:
Er 0.1370 0.2500 0.1604 (multiplicity 2)  6 Te 3.05-3.08
Tl 0.2635 0.7500 0.7179 (multiplicity 2)  7 Te 3.42-3.78, 1 Ge 3.56
Ge 0.3770 0.7500 0.4466 (multiplicity 2)  3 Te 2.72-2.85, 2 Ge 3.04
Te 0.1204 0.2500 0.8917 (multiplicity 2)  3 Er 3.05-3.06
Te 0.1607 0.2500 0.4331 (multiplicity 2)  2 Ge 2.85, 1 Er 3.08
Te 0.3965 0.7500 0.2156 (multiplicity 2)  1 Ge 2.72


The structure with the least stability is 1.


1.
# ErHfNO

ErHfNO after structural relaxation (PBE, OQMD via LeMat-Bulk).

Values from the calculation:
For the spin magnetization, the calculation gives 0.0 μB per formula unit.

abc: 4.6216 3.8306 6.5928
angles: 90.00 90.00 90.00
With the nearest neighbours (Å) after each atom.
Space group Pmma (No. 51)
Asymmetric unit:
Er 0.2500 0.0000 0.1564 (multiplicity 2)  2 N 2.32, 3 O 2.33-2.37
Hf 0.2500 0.5000 0.6696 (multiplicity 2)  3 N 2.08-2.32, 2 O 2.09
N 0.2500 0.5000 0.3544 (multiplicity 2)  3 Hf 2.08-2.32, 2 Er 2.32
O 0.2500 0.0000 0.7966 (multiplicity 2)  2 Hf 2.09, 2 Er 2.33


2.
# ErHfNO

ErHfNO after structural relaxation (PBE, OQMD via LeMat-Bulk).

Values from the calculation:
For the spin magnetization, the calculation gives 0.0 μB per formula unit.

abc: 4.4122 4.4122 5.9627
angles: 90.00 90.00 90.00
With the nearest neighbours (Å) after each atom.
Space group P4/nmm (No. 129, origin choice 2)
Asymmetric unit:
Er 0.2500 0.7500 0.0000 (multiplicity 2)  4 N 2.32
Hf 0.2500 0.2500 0.4576 (multiplicity 2)  1 N 2.00, 4 O 2.22
N 0.2500 0.2500 0.1215 (multiplicity 2)  1 Hf 2.00
O 0.2500 0.7500 0.5000 (multiplicity 2)  4 Hf 2.22


3.
# ErHfNO

ErHfNO after structural relaxation (PBE, OQMD via LeMat-Bulk).

Values from the calculation:
For the spin magnetization, the calculation gives 0.0 μB per formula unit.

abc: 7.9518 6.2076 4.7380
angles: 90.00 90.00 90.00
With the nearest neighbours (Å) after each atom.
Space group Pbcm (No. 57)
Asymmetric unit:
Er 0.1351 0.0778 0.2500 (multiplicity 4)  1 O 2.18, 4 N 2.29-2.37
Hf 0.3902 0.5502 0.2500 (multiplicity 4)  2 O 2.10-2.19, 1 N 2.13
N 0.1348 0.0508 0.7500 (multiplicity 4)  1 Hf 2.13, 4 Er 2.29-2.37
O 0.3658 0.6131 0.7500 (multiplicity 4)  2 Hf 2.10-2.19, 1 Er 2.18


The structure with the least stability is 2.


1.
# Er2Hf2O5

Er2Hf2O5 after structural relaxation (PBE, OQMD via LeMat-Bulk).

Values from the calculation:
For the spin magnetization, the calculation gives 0.0 μB per formula unit.

abc: 3.5669 3.5669 9.8695
angles: 90.00 90.00 90.00
With the nearest neighbours (Å) after each atom.
Space group P4/mmm (No. 123)
Asymmetric unit:
Er 0.0000 0.0000 0.2481 (multiplicity 2)  4 O 2.15
Hf 0.5000 0.5000 0.0000 (multiplicity 1)  8 O 2.18
Hf 0.5000 0.5000 0.5000 (multiplicity 1)  4 O 2.52
O 0.0000 0.0000 0.5000 (multiplicity 1)  2 Er 2.49, 4 Hf 2.52
O 0.0000 0.5000 0.1267 (multiplicity 4)  2 Er 2.15, 2 Hf 2.18


2.
# Er2Hf2O5

Er2Hf2O5 after structural relaxation (PBE, OQMD via LeMat-Bulk).

Values from the calculation:
For the spin magnetization, the calculation gives 0.0 μB per formula unit.

abc: 4.0569 4.0569 7.3345
angles: 90.00 90.00 90.00
With the nearest neighbours (Å) after each atom.
Space group P4/mmm (No. 123)
Asymmetric unit:
Er 0.0000 0.0000 0.0000 (multiplicity 1)  8 O 2.80
Er 0.0000 0.0000 0.5000 (multiplicity 1)  12 O 2.67-2.87
Hf 0.5000 0.5000 0.2183 (multiplicity 2)  5 O 2.05-2.07
O 0.0000 0.5000 0.2627 (multiplicity 4)  2 Hf 2.05
O 0.5000 0.5000 0.5000 (multiplicity 1)  2 Hf 2.07


The structure with the least stability is 2.


1.
# Er3Hg5

Er3Hg5 after structural relaxation (PBE, OQMD via LeMat-Bulk).

Values from the calculation:
For the spin magnetization, the calculation gives 0.0 μB per formula unit.

abc: 5.0699 7.3357 10.3414
angles: 90.00 90.00 90.00
With the nearest neighbours (Å) after each atom.
Space group Amm2 (No. 38)
Asymmetric unit:
Er 0.0000 0.0000 0.0000 (multiplicity 2)  8 Hg 3.05-3.32
Er 0.0000 0.0000 0.4457 (multiplicity 2)  10 Hg 3.10-3.29
Er 0.5000 0.0000 0.7432 (multiplicity 2)  8 Hg 3.02-3.20
Hg 0.0000 0.2226 0.7200 (multiplicity 4)  6 Er 3.02-3.32, 3 Hg 3.26-3.27
Hg 0.5000 0.0000 0.2425 (multiplicity 2)  8 Hg 3.15-3.26, 2 Er 3.29
Hg 0.5000 0.2478 0.4956 (multiplicity 4)  6 Er 3.14-3.20, 4 Hg 3.15-3.44


2.
# Er3Hg5

Er3Hg5 after structural relaxation (PBE, OQMD via LeMat-Bulk).

Values from the calculation:
For the spin magnetization, the calculation gives 0.0 μB per formula unit.

abc: 9.9908 7.6760 10.0737
angles: 90.00 90.00 90.00
With the nearest neighbours (Å) after each atom.
Space group Cmcm (No. 63)
Asymmetric unit:
Er 0.0000 0.0569 0.2500 (multiplicity 4)  9 Hg 3.01-3.21
Er 0.2151 0.5000 0.0000 (multiplicity 8)  10 Hg 3.10-3.32
Hg 0.0000 0.2102 0.5251 (multiplicity 8)  6 Er 3.01-3.28, 3 Hg 3.17-3.27
Hg 0.0000 0.4619 0.2500 (multiplicity 4)  5 Er 3.11-3.32, 8 Hg 3.14-3.39
Hg 0.2206 0.2471 0.7500 (multiplicity 8)  4 Hg 3.14-3.22, 6 Er 3.17-3.22


The structure with the least stability is 1.


1.
# HoErHg6

HoErHg6 after structural relaxation (PBE, OQMD via LeMat-Bulk).

Values from the calculation:
For the spin magnetization, the calculation gives 0.0 μB per formula unit.

abc: 6.5804 6.5804 4.9868
angles: 90.00 90.00 120.00
With the nearest neighbours (Å) after each atom.
Space group P-6m2 (No. 187)
Asymmetric unit:
Ho 0.0000 0.0000 0.0000 (multiplicity 1)  12 Hg 3.13-3.29
Er 0.6667 0.3333 0.5000 (multiplicity 1)  12 Hg 3.13-3.29
Hg 0.1666 0.3332 0.5000 (multiplicity 3)  2 Ho 3.13, 8 Hg 3.14-3.29, 2 Er 3.29
Hg 0.5003 0.0006 0.0000 (multiplicity 3)  2 Er 3.13, 8 Hg 3.14-3.30, 2 Ho 3.29


2.
# HoErHg6

HoErHg6 after structural relaxation (PBE, OQMD via LeMat-Bulk).

Values from the calculation:
For the spin magnetization, the calculation gives 0.0 μB per formula unit.

abc: 4.8540 7.0589 10.8703
angles: 90.00 90.00 90.00
With the nearest neighbours (Å) after each atom.
Space group Amm2 (No. 38)
Asymmetric unit:
Ho 0.0000 0.0000 0.0000 (multiplicity 2)  10 Hg 3.13-3.31
Er 0.5000 0.0000 0.7163 (multiplicity 2)  10 Hg 3.13-3.31
Hg 0.0000 0.0000 0.5332 (multiplicity 2)  8 Hg 3.05-3.34, 2 Er 3.14
Hg 0.0000 0.2306 0.2651 (multiplicity 4)  7 Hg 3.05-3.34, 2 Er 3.13, 2 Ho 3.18-3.31
Hg 0.5000 0.0000 0.1836 (multiplicity 2)  8 Hg 3.05-3.33, 2 Ho 3.14
Hg 0.5000 0.2299 0.4508 (multiplicity 4)  7 Hg 3.05-3.33, 2 Ho 3.13, 2 Er 3.18-3.31


The structure with the least stability is 2.